Density functional theory data (PBE) for a relaxed CaCeIn2 crystal.

The structure in extended XYZ format:
```
16
Lattice="7.7188 0.0000 0.0000 0.0000 7.7188 0.0000 0.0000 0.0000 7.7188" Properties=species:S:1:pos:R:3 pbc="T T T"
Ca 0.0000 0.0000 0.0000
Ca 0.0000 3.8594 3.8594
Ca 3.8594 0.0000 3.8594
Ca 3.8594 3.8594 0.0000
Ce 0.0000 0.0000 3.8594
Ce 0.0000 3.8594 0.0000
Ce 3.8594 0.0000 0.0000
Ce 3.8594 3.8594 3.8594
In 1.9297 1.9297 1.9297
In 1.9297 1.9297 5.7891
In 1.9297 5.7891 1.9297
In 1.9297 5.7891 5.7891
In 5.7891 1.9297 1.9297
In 5.7891 1.9297 5.7891
In 5.7891 5.7891 1.9297
In 5.7891 5.7891 5.7891
```

Summary:
Formation energy from the elements   -1.6 eV per formula unit
Total magnetization   1.01 μB per formula unit
Mass density   5.9 g/cm³